Entry 1:
Below is an optimized crystal structure of PmSm3Y6Tm2, with properties calculated at the PBE level.

Structure (POSCAR):
```
PmSm3Y6Tm2
1.0
3.100 -5.366 0.000
3.100 5.366 0.000
-2.057 0.000 11.663
Pm Sm Y Tm
1 3 6 2
Cartesian
0.000 0.000 0.000
2.072 3.573 5.832
2.072 0.000 5.832
2.072 -3.573 5.832
1.041 1.792 2.893
0.010 0.000 8.770
1.041 -1.792 2.893
3.103 1.792 8.771
4.133 0.000 2.893
3.103 -1.792 8.771
3.100 1.789 0.000
3.100 -1.789 0.000
```

Calculated values
Fermi-level density of states = 16.60 states/eV/f.u.
formation enthalpy at 0 K = 0.019 eV/atom

***

Entry 2:
Below is an optimized crystal structure of PmSmY6Tm2, with properties calculated at the PBE level.

Structure (POSCAR):
```
PmSmY6Tm2
1.0
4.605 -7.480 0.000
4.605 7.480 0.000
-1.208 0.000 9.494
Pm Sm Y Tm
2 2 12 4
Cartesian
3.699 6.114 7.120
4.303 -6.114 2.373
4.303 0.432 2.373
3.699 -0.432 7.120
3.252 5.853 3.647
2.464 3.379 1.720
5.353 5.853 1.100
3.343 2.701 5.284
4.054 2.701 8.957
6.141 3.379 3.027
1.860 -3.379 6.467
3.947 -2.701 0.537
4.658 -2.701 4.210
2.648 -5.853 8.394
5.537 -3.379 7.774
4.749 -5.853 5.846
1.184 0.759 9.027
1.788 -0.759 4.281
6.213 0.759 5.213
6.817 -0.759 0.466
```

Calculated values
Fermi-level density of states = 15.73 states/eV/f.u.
formation enthalpy at 0 K = 0.121 eV/atom

***

Entry 3:
Below is an optimized crystal structure of Pm2SmU, with properties calculated at the PBE level.

Structure (POSCAR):
```
Pm2SmU
1.0
1.681 0.971 12.521
-1.681 0.971 12.521
0.000 -1.941 12.521
Pm Sm U
2 1 1
Cartesian
0.000 0.000 3.234
0.000 0.000 34.330
0.000 0.000 18.782
0.000 0.000 0.000
```

Calculated values
Fermi-level density of states = 8.50 states/eV/f.u.
formation enthalpy at 0 K = 0.491 eV/atom

***

What did the third record say?
Below is an optimized crystal structure of Pm2SmU, with properties calculated at the PBE level.

Structure (POSCAR):
```
Pm2SmU
1.0
1.681 0.971 12.521
-1.681 0.971 12.521
0.000 -1.941 12.521
Pm Sm U
2 1 1
Cartesian
0.000 0.000 3.234
0.000 0.000 34.330
0.000 0.000 18.782
0.000 0.000 0.000
```

Calculated values
Fermi-level density of states = 8.50 states/eV/f.u.
formation enthalpy at 0 K = 0.491 eV/atom